# 1
Material: PaSnSe4
Method: DFT, PBE
State: optimized geometry

Cell lengths 7.035, 6.883, 6.892 Å; angles 90.00, 90.76, 90.00 degrees
Atoms (fractional coordinates):
Pa 0.000 0.000 0.000
Pa 0.000 0.500 0.500
Sn 0.500 0.000 0.500
Sn 0.500 0.500 0.000
Se 0.153 0.158 0.345
Se 0.153 0.342 0.845
Se 0.339 0.645 0.354
Se 0.339 0.855 0.854
Se 0.661 0.145 0.146
Se 0.661 0.355 0.646
Se 0.847 0.658 0.155
Se 0.847 0.842 0.655

Summary:
Formation energy without anion corrections, eV per atom: -0.770
Calculated density, g/cm3: 6.6
N(E_F), states/eV/cell: 8.02
Total DFT energy (no corrections), eV per atom: -5.3432



# 2
Material: LaNdEr5
Method: DFT, PBE
State: optimized geometry

Cell lengths 6.771, 6.771, 12.070 Å; angles 105.96, 105.96, 61.48 degrees
Atoms (fractional coordinates):
La 0.026 0.974 0.750
La 0.974 0.026 0.250
Nd 0.000 0.500 0.000
Nd 0.500 0.000 0.500
Er 0.140 0.417 0.745
Er 0.207 0.631 0.502
Er 0.369 0.793 0.998
Er 0.407 0.593 0.250
Er 0.417 0.140 0.245
Er 0.583 0.860 0.755
Er 0.593 0.407 0.750
Er 0.631 0.207 0.002
Er 0.793 0.369 0.498
Er 0.860 0.583 0.255

Summary:
Calculated density, g/cm3: 8.1
N(E_F), states/eV/cell: 19.36
Formation enthalpy at 0 K, eV/atom: 0.2009
Total DFT energy (no corrections), eV per atom: -4.4433



# 3
Material: GaSi2W2
Method: DFT, PBE
State: optimized geometry

Cell lengths 6.838, 6.838, 3.309 Å; angles 90.00, 90.00, 90.00 degrees
Atoms (fractional coordinates):
Ga 0.000 0.000 0.000
Ga 0.500 0.500 0.000
Si 0.142 0.358 0.500
Si 0.358 0.858 0.500
Si 0.642 0.142 0.500
Si 0.858 0.642 0.500
W 0.151 0.651 0.000
W 0.349 0.151 0.000
W 0.651 0.849 0.000
W 0.849 0.349 0.000

Summary:
Formation energy without anion corrections, eV per atom: 0.042
Calculated density, g/cm3: 10.6
N(E_F), states/eV/cell: 5.55
Total DFT energy (no corrections), eV per atom: -7.9134



# 4
Material: KLi2LaCl6
Method: DFT, PBE
State: optimized geometry

Cell lengths 7.417, 7.417, 7.417 Å; angles 56.37, 56.37, 56.37 degrees
Atoms (fractional coordinates):
K 0.000 0.000 0.000
Li 0.276 0.276 0.276
Li 0.782 0.782 0.782
La 0.483 0.483 0.483
Cl 0.055 0.621 0.463
Cl 0.173 0.539 0.911
Cl 0.463 0.055 0.621
Cl 0.539 0.911 0.173
Cl 0.621 0.463 0.055
Cl 0.911 0.173 0.539

Summary:
Formation energy without anion corrections, eV per atom: -2.051
Calculated density, g/cm3: 2.5
N(E_F), states/eV/cell: 0.00
Total DFT energy (no corrections), eV per atom: -4.1446



# 5
Material: DyBi2Ir
Method: DFT, PBE
State: optimized geometry

Cell lengths 10.179, 10.179, 10.179 Å; angles 20.73, 20.73, 20.73 degrees
Atoms (fractional coordinates):
Dy 0.000 0.000 0.000
Bi 0.107 0.107 0.107
Bi 0.893 0.893 0.893
Ir 0.500 0.500 0.500

Summary:
Calculated density, g/cm3: 11.1
N(E_F), states/eV/cell: 2.19
Formation enthalpy at 0 K, eV/atom: 0.1567
Total DFT energy (no corrections), eV per atom: -5.1495



# 6
Material: Lu2NpC
Method: DFT, PBE
State: optimized geometry

Cell lengths 9.715, 9.715, 9.715 Å; angles 20.02, 20.02, 20.02 degrees
Atoms (fractional coordinates):
Lu 0.120 0.120 0.120
Lu 0.880 0.880 0.880
Np 0.000 0.000 0.000
C 0.500 0.500 0.500

Summary:
Calculated density, g/cm3: 10.6
N(E_F), states/eV/cell: 7.03
Formation enthalpy at 0 K, eV/atom: 0.1575
Total DFT energy (no corrections), eV per atom: -7.6442



# 7
Material: CaSb2Au
Method: DFT, PBE
State: optimized geometry

Cell lengths 4.502, 4.296, 6.109 Å; angles 90.00, 106.63, 90.00 degrees
Atoms (fractional coordinates):
Ca 0.000 0.000 0.000
Sb 0.365 0.500 0.748
Sb 0.635 0.500 0.252
Au 0.500 0.000 0.500

Summary:
Formation energy without anion corrections, eV per atom: -0.431
Calculated density, g/cm3: 7.0
N(E_F), states/eV/cell: 1.30
Total DFT energy (no corrections), eV per atom: -3.8124



# 8
Material: MgSiSnHS
Method: DFT, PBE
State: optimized geometry

Cell lengths 3.884, 3.884, 6.292 Å; angles 90.00, 90.00, 90.00 degrees
Atoms (fractional coordinates):
Mg 0.000 0.000 0.000
Si 0.000 0.000 0.561
Sn 0.500 0.500 0.583
H 0.000 0.000 0.317
S 0.500 0.500 0.999

Summary:
Calculated density, g/cm3: 3.6
N(E_F), states/eV/cell: 1.70
Total DFT energy (no corrections), eV per atom: -3.9572



# 9
Material: ReNi2Hg
Method: DFT, PBE
State: optimized geometry

Cell lengths 5.540, 5.540, 5.540 Å; angles 104.11, 104.11, 120.82 degrees
Atoms (fractional coordinates):
Re 0.000 0.000 0.000
Re 0.750 0.250 0.500
Ni 0.096 0.625 0.971
Ni 0.375 0.346 0.471
Ni 0.654 0.125 0.029
Ni 0.875 0.904 0.529
Hg 0.250 0.750 0.500
Hg 0.500 0.500 0.000

Summary:
Calculated density, g/cm3: 13.2
N(E_F), states/eV/cell: 15.39
Formation enthalpy at 0 K, eV/atom: 0.8660
Total DFT energy (no corrections), eV per atom: -5.2121



# 10
Material: LaPmSc
Method: DFT, PBE
State: optimized geometry

Cell lengths 5.616, 5.616, 3.459 Å; angles 90.00, 90.00, 120.00 degrees
Atoms (fractional coordinates):
La 0.000 0.000 0.000
Pm 0.333 0.667 0.500
Sc 0.667 0.333 0.500

Summary:
Calculated density, g/cm3: 5.8
N(E_F), states/eV/cell: 4.63
Formation enthalpy at 0 K, eV/atom: 0.0815
Total DFT energy (no corrections), eV per atom: -5.2550



# 11
Material: KPb2Au
Method: DFT, PBE
State: optimized geometry

Cell lengths 7.235, 7.235, 7.235 Å; angles 39.00, 39.00, 39.00 degrees
Atoms (fractional coordinates):
K 0.000 0.000 0.000
Pb 0.216 0.216 0.216
Pb 0.784 0.784 0.784
Au 0.500 0.500 0.500

Summary:
Calculated density, g/cm3: 8.0
N(E_F), states/eV/cell: 2.13
Formation enthalpy at 0 K, eV/atom: -0.1916
Total DFT energy (no corrections), eV per atom: -3.1395



# 12
Material: PaHg2Ge
Method: DFT, PBE
State: optimized geometry

Cell lengths 4.270, 4.270, 5.075 Å; angles 90.00, 90.00, 90.00 degrees
Atoms (fractional coordinates):
Pa 0.000 0.000 0.000
Hg 0.000 0.500 0.500
Hg 0.500 0.000 0.500
Ge 0.500 0.500 0.000

Summary:
Calculated density, g/cm3: 12.7
N(E_F), states/eV/cell: 5.12
Formation enthalpy at 0 K, eV/atom: -0.1281
Total DFT energy (no corrections), eV per atom: -3.8073



Q: Which of these has the highest total DFT energy (no corrections)?
A: KPb2Au



Q: Which of these has the lowest total DFT energy (no corrections)?
A: GaSi2W2



Q: Among the records above, which one has the lowest total DFT energy (no corrections)?
A: GaSi2W2



Q: Which of these has the highest N(E_F)?
A: LaNdEr5